(1)
The following is a PBE calculation of an optimized crystal structure of NaEuGe, from Alexandria via LeMat-Bulk.

Values from the calculation:
- V (A^3/atom) = 31.13
- ΔH_f (0 K) (eV per atom) = -0.214
- SG = F-43m
- ρ (g/cm3) = 4.4

Cell: 5.093 5.093 5.093 Å, 60.00 60.00 60.00°
Each line ends with the local moment (μB).
Fractional positions:
Ge: 0.250 0.250 0.250  -0.32
Eu: 0.000 0.000 0.000  6.67
Na: 0.500 0.500 0.500  -0.01


(2)
The following is a PBE calculation of an optimized crystal structure of NaNdEuGe, from Alexandria via LeMat-Bulk.

Values from the calculation:
- V (A^3/atom) = 27.50
- ΔH_f (0 K) (eV per atom) = -0.257
- SG = F-43m
- ρ (g/cm3) = 5.9

Cell: 5.378 5.378 5.378 Å, 60.00 60.00 60.00°
Each line ends with the local moment (μB).
Fractional positions:
Nd: 0.500 0.500 0.500  0.20
Eu: 0.000 0.000 0.000  6.94
Ge: 0.250 0.250 0.250  -0.05
Na: 0.750 0.750 0.750  0.01


(3)
The following is a PBE calculation of an optimized crystal structure of NaEuGeO4, from Alexandria via LeMat-Bulk.

Values from the calculation:
- V (A^3/atom) = 14.98
- formation energy (no corrections) (meV per atom) = -2152
- SG = Pnma
- ρ (g/cm3) = 4.9

Cell: 5.372 6.659 11.727 Å, 90.00 90.00 90.00°
Each line ends with the local moment (μB).
Fractional positions:
O: 0.710 0.546 0.169  -0.09
O: 0.267 0.750 0.605  -0.04
O: 0.818 0.750 0.454  -0.07
O: 0.318 0.250 0.046  -0.07
O: 0.790 0.954 0.669  -0.09
O: 0.210 0.454 0.331  -0.09
O: 0.710 0.954 0.169  -0.09
O: 0.733 0.250 0.395  -0.04
O: 0.290 0.046 0.831  -0.09
O: 0.682 0.750 0.954  -0.07
O: 0.210 0.046 0.331  -0.09
O: 0.767 0.250 0.895  -0.04
O: 0.790 0.546 0.669  -0.09
O: 0.233 0.750 0.105  -0.04
O: 0.182 0.250 0.546  -0.07
O: 0.290 0.454 0.831  -0.09
Na: 0.500 0.000 0.500  0.00
Na: 0.000 0.500 0.000  0.00
Na: 0.500 0.500 0.500  0.00
Na: 0.000 0.000 0.000  0.00
Eu: 0.998 0.250 0.723  6.26
Eu: 0.498 0.750 0.777  6.26
Eu: 0.002 0.750 0.277  6.26
Eu: 0.502 0.250 0.223  6.26
Ge: 0.558 0.750 0.094  0.00
Ge: 0.058 0.250 0.406  0.00
Ge: 0.942 0.750 0.594  0.00
Ge: 0.442 0.250 0.906  0.00


(4)
The following is a PBE calculation of an optimized crystal structure of NaEuGe4O12, from Alexandria via LeMat-Bulk.

Values from the calculation:
- V (A^3/atom) = 11.76
- formation energy (no corrections) (meV per atom) = -1292
- SG = P4/mmm
- ρ (g/cm3) = 5.2

Cell: 5.292 5.292 7.563 Å, 90.00 90.00 90.00°
Each line ends with the local moment (μB).
Fractional positions:
O: 0.256 0.744 0.735  0.12
O: 0.256 0.744 0.265  0.12
O: 0.743 0.257 0.265  0.12
O: 0.743 0.744 0.265  0.12
O: 0.256 0.257 0.735  0.12
O: 0.256 0.257 0.265  0.12
O: 0.499 0.001 0.500  0.24
O: 0.999 0.500 0.000  0.09
O: 0.743 0.744 0.735  0.12
O: 0.999 0.501 0.500  0.24
O: 0.500 0.001 0.000  0.09
O: 0.743 0.257 0.735  0.12
Ge: 0.499 0.001 0.759  -0.01
Ge: 0.999 0.501 0.759  -0.01
Ge: 0.499 0.001 0.241  -0.01
Ge: 0.999 0.501 0.241  -0.01
Na: 0.000 0.000 0.000  0.00
Eu: 0.499 0.501 0.500  6.23